Record 1
Material: SmGaCu5
Method: DFT, PBE-GGA
State: optimized geometry

## Properties
Symmetry: Pnma
E (eV per atom): -4.272

abc: 5.0757 8.1328 10.2354
angles: 90.00 90.00 90.00
Fractional coordinates of all 28 atoms:
Sm: 0.2500 0.2404 0.9407
Sm: 0.7500 0.2596 0.4407
Sm: 0.2500 0.7405 0.5593
Sm: 0.7500 0.7595 0.0593
Ga: 0.2500 0.8539 0.8561
Ga: 0.7500 0.6461 0.3561
Ga: 0.2500 0.3539 0.6439
Ga: 0.7500 0.1461 0.1439
Cu: 0.2500 0.5915 0.0158
Cu: 0.7500 0.9085 0.5158
Cu: 0.2500 0.0915 0.4842
Cu: 0.7500 0.4085 0.9842
Cu: 0.7500 0.3186 0.7465
Cu: 0.2500 0.1814 0.2465
Cu: 0.7500 0.8186 0.7535
Cu: 0.2500 0.6814 0.2535
Cu: 0.2500 0.9331 0.0932
Cu: 0.7500 0.5669 0.5932
Cu: 0.2500 0.4331 0.4068
Cu: 0.7500 0.0669 0.9068
Cu: 0.9951 0.4346 0.1933
Cu: 0.0049 0.0654 0.6933
Cu: 0.5049 0.9346 0.3067
Cu: 0.4951 0.5654 0.8067
Cu: 0.0049 0.5654 0.8067
Cu: 0.9951 0.9346 0.3067
Cu: 0.4951 0.0654 0.6933
Cu: 0.5049 0.4346 0.1933



Record 2
Material: SmGa2Cu
Method: DFT, PBE-GGA
State: optimized geometry

## Properties
Symmetry: C2/m
E (eV per atom): -4.202

abc: 4.1687 4.1705 5.7774
angles: 111.07 90.00 119.99
Fractional coordinates of all 4 atoms:
Sm: 0.7500 0.5000 0.2500
Ga: 0.9630 0.9260 0.8894
Ga: 0.5370 0.0740 0.6106
Cu: 0.2500 0.5000 0.7500



Record 3
Material: SmGa3Cu
Method: DFT, PBE-GGA
State: optimized geometry

## Properties
Symmetry: I-4m2
E (eV per atom): -4.073

abc: 6.1047 6.1047 6.1047
angles: 140.24 140.24 57.49
Fractional coordinates of all 5 atoms:
Sm: 0.0000 0.0000 0.0000
Ga: 0.6153 0.6153 0.0000
Ga: 0.3847 0.3847 0.0000
Ga: 0.7500 0.2500 0.5000
Cu: 0.2500 0.7500 0.5000



Record 4
Material: SmGa7Cu5
Method: DFT, PBE-GGA
State: optimized geometry

## Properties
Symmetry: Imm2
E (eV per atom): -3.835

abc: 5.2336 6.7310 6.7310
angles: 82.66 67.12 67.12
Fractional coordinates of all 13 atoms:
Sm: 0.9988 0.0012 0.0012
Ga: 0.6469 0.3531 0.3531
Ga: 0.3465 0.6535 0.6535
Ga: 0.9913 0.3545 0.6629
Ga: 0.9913 0.6629 0.3545
Ga: 0.2705 0.2295 0.2295
Ga: 0.5083 0.7917 0.1916
Ga: 0.5083 0.1916 0.7917
Cu: 0.4995 0.9995 0.4967
Cu: 0.0044 0.9995 0.4967
Cu: 0.4995 0.4967 0.9995
Cu: 0.0044 0.4967 0.9995
Cu: 0.7304 0.7696 0.7696



Record 5
Material: SmGaCu2
Method: DFT, PBE-GGA
State: optimized geometry

## Properties
Symmetry: Pnma
E (eV per atom): -4.323

abc: 5.4597 6.5189 8.0928
angles: 90.00 90.00 90.00
Fractional coordinates of all 16 atoms:
Sm: 0.3481 0.2500 0.0563
Sm: 0.8481 0.7500 0.4437
Sm: 0.6519 0.7500 0.9437
Sm: 0.1519 0.2500 0.5563
Ga: 0.6489 0.2500 0.3919
Ga: 0.1489 0.7500 0.1081
Ga: 0.3511 0.7500 0.6081
Ga: 0.8511 0.2500 0.8919
Cu: 0.8858 0.0573 0.1804
Cu: 0.3858 0.9427 0.3196
Cu: 0.1142 0.5573 0.8196
Cu: 0.6142 0.4427 0.6804
Cu: 0.1142 0.9427 0.8196
Cu: 0.6142 0.0573 0.6804
Cu: 0.8858 0.4427 0.1804
Cu: 0.3858 0.5573 0.3196



Record 6
Material: Sm4Ga12Cu
Method: DFT, PBE-GGA
State: optimized geometry

## Properties
Symmetry: Im-3m
E (eV per atom): -4.021

abc: 7.5687 7.5687 7.5687
angles: 109.47 109.47 109.47
Fractional coordinates of all 17 atoms:
Sm: 0.0000 0.0000 0.5000
Sm: 0.5000 0.0000 0.0000
Sm: 0.5000 0.5000 0.5000
Sm: 0.0000 0.5000 0.0000
Ga: 0.0000 0.2933 0.2933
Ga: 0.0000 0.7067 0.7067
Ga: 0.7067 0.7067 0.0000
Ga: 0.2933 0.2933 0.0000
Ga: 0.2933 0.0000 0.2933
Ga: 0.7067 0.0000 0.7067
Ga: 0.5000 0.2500 0.7500
Ga: 0.5000 0.7500 0.2500
Ga: 0.7500 0.2500 0.5000
Ga: 0.2500 0.7500 0.5000
Ga: 0.7500 0.5000 0.2500
Ga: 0.2500 0.5000 0.7500
Cu: 0.0000 0.0000 0.0000



Record 7
Material: Sm3Ga9Cu2
Method: DFT, PBE-GGA
State: optimized geometry

## Properties
Symmetry: Immm
E (eV per atom): -4.047

abc: 4.2414 8.2464 8.2464
angles: 75.38 75.10 75.10
Fractional coordinates of all 14 atoms:
Sm: 0.0000 0.0000 0.0000
Sm: 0.6797 0.3203 0.3203
Sm: 0.3203 0.6797 0.6797
Ga: 0.0000 0.5000 0.5000
Ga: 0.6633 0.9654 0.7079
Ga: 0.3367 0.0346 0.2921
Ga: 0.6633 0.7079 0.9654
Ga: 0.3367 0.2921 0.0346
Ga: 0.8701 0.8544 0.4054
Ga: 0.1299 0.1456 0.5946
Ga: 0.8701 0.4054 0.8544
Ga: 0.1299 0.5946 0.1456
Cu: 0.5000 0.2766 0.7234
Cu: 0.5000 0.7234 0.2766



Record 8
Material: Sm3Ga2Cu3
Method: DFT, PBE-GGA
State: optimized geometry

## Properties
Symmetry: Pnma
E (eV per atom): -4.433

abc: 6.0180 7.4561 15.0205
angles: 90.00 90.00 90.00
Fractional coordinates of all 32 atoms:
Sm: 0.1440 0.4914 0.3931
Sm: 0.6440 0.0086 0.6069
Sm: 0.8560 0.5086 0.8931
Sm: 0.3560 0.9914 0.1069
Sm: 0.8560 0.5086 0.6069
Sm: 0.3560 0.9914 0.3931
Sm: 0.1440 0.4914 0.1069
Sm: 0.6440 0.0086 0.8931
Sm: 0.6176 0.3506 0.2500
Sm: 0.1176 0.1494 0.7500
Sm: 0.3824 0.6494 0.7500
Sm: 0.8824 0.8506 0.2500
Ga: 0.8540 0.1411 0.3986
Ga: 0.3540 0.3589 0.6014
Ga: 0.1460 0.8589 0.8986
Ga: 0.6460 0.6411 0.1014
Ga: 0.1460 0.8589 0.6014
Ga: 0.6460 0.6411 0.3986
Ga: 0.8540 0.1411 0.1014
Ga: 0.3540 0.3589 0.8986
Cu: 0.1087 0.2127 0.2500
Cu: 0.6087 0.2873 0.7500
Cu: 0.8913 0.7873 0.7500
Cu: 0.3913 0.7127 0.2500
Cu: 0.5792 0.3374 0.4644
Cu: 0.0792 0.1626 0.5356
Cu: 0.4208 0.6626 0.9644
Cu: 0.9208 0.8374 0.0356
Cu: 0.4208 0.6626 0.5356
Cu: 0.9208 0.8374 0.4644
Cu: 0.5792 0.3374 0.0356
Cu: 0.0792 0.1626 0.9644



Record 9
Material: Sm2Ga3Cu5
Method: DFT, PBE-GGA
State: optimized geometry

## Properties
Symmetry: C2/c
E (eV per atom): -4.252

abc: 5.8470 8.2977 8.2977
angles: 88.57 69.27 69.27
Fractional coordinates of all 20 atoms:
Sm: 0.2630 0.8627 0.6112
Sm: 0.2370 0.3888 0.1373
Sm: 0.7370 0.1373 0.3888
Sm: 0.7630 0.6112 0.8627
Ga: 0.1219 0.2464 0.5112
Ga: 0.3781 0.4888 0.7536
Ga: 0.8781 0.7536 0.4888
Ga: 0.6219 0.5112 0.2464
Ga: 0.2500 0.0002 0.9998
Ga: 0.7500 0.9998 0.0002
Cu: 0.3544 0.0267 0.2632
Cu: 0.1456 0.7368 0.9733
Cu: 0.6456 0.9733 0.7368
Cu: 0.8544 0.2632 0.0267
Cu: 0.2500 0.2340 0.7660
Cu: 0.7500 0.7660 0.2340
Cu: 0.2500 0.5006 0.4994
Cu: 0.7500 0.4994 0.5006
Cu: 0.2500 0.7659 0.2341
Cu: 0.7500 0.2341 0.7659



Record 10
Material: Sm3Ga8Cu3
Method: DFT, PBE-GGA
State: optimized geometry

## Properties
Symmetry: Immm
E (eV per atom): -4.105

abc: 4.3137 8.1698 8.1698
angles: 70.52 74.69 74.69
Fractional coordinates of all 14 atoms:
Sm: 0.5000 0.5000 0.5000
Sm: 0.8030 0.1970 0.1970
Sm: 0.1970 0.8030 0.8030
Ga: 0.6308 0.0809 0.6574
Ga: 0.3692 0.9191 0.3426
Ga: 0.6308 0.6574 0.0809
Ga: 0.3692 0.3426 0.9191
Ga: 0.8447 0.7923 0.5183
Ga: 0.1553 0.2077 0.4817
Ga: 0.8447 0.5183 0.7923
Ga: 0.1553 0.4817 0.2077
Cu: 0.5000 0.0000 0.0000
Cu: 0.0000 0.8110 0.1890
Cu: 0.0000 0.1890 0.8110



Record 11
Material: SmGa2Cu
Method: DFT, PBE-GGA
State: optimized geometry

## Properties
Symmetry: Pnma
E (eV per atom): -4.184

abc: 5.7012 6.6754 7.9501
angles: 90.00 90.00 90.00
Fractional coordinates of all 16 atoms:
Sm: 0.3746 0.2500 0.0356
Sm: 0.8746 0.7500 0.4644
Sm: 0.6254 0.7500 0.9644
Sm: 0.1254 0.2500 0.5356
Ga: 0.8897 0.0553 0.1865
Ga: 0.3897 0.9447 0.3135
Ga: 0.1103 0.5553 0.8135
Ga: 0.6103 0.4447 0.6865
Ga: 0.1103 0.9447 0.8135
Ga: 0.6103 0.0553 0.6865
Ga: 0.8897 0.4447 0.1865
Ga: 0.3897 0.5553 0.3135
Cu: 0.6298 0.2500 0.4074
Cu: 0.1298 0.7500 0.0926
Cu: 0.3702 0.7500 0.5926
Cu: 0.8702 0.2500 0.9074



Record 12
Material: Sm2GaCu6
Method: DFT, PBE-GGA
State: optimized geometry

## Properties
Symmetry: P-3m1
E (eV per atom): -4.334

abc: 5.7324 5.5063 5.5084
angles: 119.99 89.99 90.00
Fractional coordinates of all 9 atoms:
Sm: 0.8427 0.6666 0.3332
Sm: 0.1573 0.3334 0.6668
Ga: 0.0000 0.0000 0.0000
Cu: 0.3419 0.3580 0.1791
Cu: 0.3417 0.8207 0.6414
Cu: 0.3419 0.8211 0.1791
Cu: 0.6581 0.6420 0.8209
Cu: 0.6583 0.1793 0.3586
Cu: 0.6581 0.1789 0.8209